(1)
Ca2NiRhC: optimized geometry, GGA-PBE.

```
Ca2NiRhC
1.0
5.032 0.000 0.000
0.000 5.032 0.000
0.000 0.000 3.830
Ca Ni Rh C
2 1 1 1
Cartesian
0.000 2.516 0.000
2.516 0.000 0.000
0.000 0.000 1.915
2.516 2.516 1.915
2.516 2.516 0.000
```

Calculated values
- DFT formation energy (eV per atom) = 0.04
- calculated total energy (Ry per atom) = -0.3848
- ρ (g/cm³) = 4.35
- space group = No. 123

(2)
Ba2Sr3Ca4: optimized geometry, GGA-PBE.

```
Ba2Sr3Ca4
1.0
-2.064 6.694 8.835
2.064 -6.694 8.835
2.064 6.694 -8.835
Ba Sr Ca
2 3 4
Cartesian
0.000 0.000 3.628
0.000 0.000 14.042
2.064 0.000 0.000
2.064 0.000 7.005
0.000 6.694 1.830
2.064 3.363 -2.575
2.064 3.363 2.575
0.000 3.331 6.259
0.000 3.331 11.410
```

Calculated values
- DFT formation energy (eV per atom) = 0.20
- calculated total energy (Ry per atom) = -0.1236
- ρ (g/cm³) = 2.37
- space group = No. 71

(3)
ScRe2Ir: optimized geometry, GGA-PBE.

```
ScRe2Ir
1.0
2.746 0.000 0.000
0.000 4.163 0.000
0.000 0.000 5.606
Sc Re Ir
1 2 1
Cartesian
0.000 0.000 0.000
1.373 2.081 1.512
1.373 2.081 4.094
0.000 0.000 2.803
```

Calculated values
- DFT formation energy (eV per atom) = 0.08
- calculated total energy (Ry per atom) = -0.7309
- ρ (g/cm³) = 15.79
- space group = No. 47

(4)
HoAl2CuNi4: optimized geometry, GGA-PBE.

```
HoAl2CuNi4
1.0
2.039 1.177 7.826
-2.039 1.177 7.826
0.000 -2.355 7.826
Ho Al Cu Ni
1 2 1 4
Cartesian
0.000 0.000 0.000
0.000 0.000 5.532
0.000 0.000 17.945
0.000 0.000 11.738
0.000 0.000 2.960
0.000 0.000 9.406
0.000 0.000 14.071
0.000 0.000 20.516
```

Calculated values
- DFT formation energy (eV per atom) = -0.42
- calculated total energy (Ry per atom) = -0.3920
- ρ (g/cm³) = 7.62
- space group = No. 166

(5)
HgP: optimized geometry, GGA-PBE.

```
HgP
1.0
-4.033 4.033 4.033
4.033 -4.033 4.033
4.033 4.033 -4.033
Hg P
4 4
Cartesian
1.422 1.422 -1.422
1.422 -1.422 1.422
-1.422 1.422 1.422
2.611 2.611 2.611
2.816 2.816 -2.816
2.816 -2.816 2.816
1.217 1.217 1.217
-2.816 2.816 2.816
```

Calculated values
- DFT formation energy (eV per atom) = 0.57
- calculated total energy (Ry per atom) = -0.1676
- ρ (g/cm³) = 5.86
- space group = No. 217

(6)
Y2Ga9Rh3: optimized geometry, GGA-PBE.

```
Y2Ga9Rh3
1.0
6.537 -3.795 0.000
6.537 3.795 0.000
0.000 0.000 9.546
Y Ga Rh
4 18 6
Cartesian
4.391 2.533 7.160
8.683 2.533 7.160
4.391 -2.533 2.387
8.683 -2.533 2.387
4.355 2.520 0.760
4.355 2.520 4.014
6.537 2.832 2.387
6.537 1.265 5.388
6.537 1.265 8.931
8.720 2.520 0.760
8.720 2.520 4.014
5.171 0.431 2.387
5.171 -0.431 7.160
7.904 0.431 2.387
7.904 -0.431 7.160
4.355 -2.520 5.533
4.355 -2.520 8.787
6.537 -1.265 0.615
6.537 -1.265 4.158
6.537 -2.832 7.160
8.720 -2.520 5.533
8.720 -2.520 8.787
0.000 0.000 0.000
0.000 0.000 4.773
4.295 0.000 0.000
4.295 0.000 4.773
8.779 0.000 0.000
8.779 0.000 4.773
```

Calculated values
- DFT formation energy (eV per atom) = -0.72
- calculated total energy (Ry per atom) = -0.3794
- ρ (g/cm³) = 7.81
- space group = No. 63

(7)
GaTe2NF: optimized geometry, GGA-PBE.

```
GaTe2NF
1.0
4.828 0.000 0.000
0.000 4.828 0.000
0.000 0.000 4.309
Ga Te N F
1 2 1 1
Cartesian
0.000 0.000 0.000
0.000 2.414 2.155
2.414 0.000 2.155
2.414 2.414 0.000
2.414 2.414 2.155
```

Calculated values
- calculated total energy (Ry per atom) = -0.2180
- ρ (g/cm³) = 5.92
- ΔE_f (raw) (kJ/mol of atoms) = 90
- space group = No. 123

(8)
Ce4PmPu3Se8: optimized geometry, GGA-PBE.

```
Ce4PmPu3Se8
1.0
4.178 2.412 6.856
-4.178 2.412 6.856
0.000 -4.824 6.856
Ce Pm Pu Se
4 1 3 8
Cartesian
0.000 0.000 0.000
-2.089 -1.206 6.856
-2.089 1.206 13.713
0.000 2.412 6.856
0.000 0.000 10.284
-4.178 0.000 10.284
-2.089 1.206 3.428
2.089 1.206 3.428
-2.106 -1.216 11.967
0.000 0.000 5.094
0.000 -2.432 8.602
-2.106 1.216 8.602
2.106 -1.216 11.967
0.000 2.432 11.967
0.000 0.000 15.475
2.106 1.216 8.602
```

Calculated values
- calculated total energy (Ry per atom) = -0.5826
- ρ (g/cm³) = 8.29
- ΔE_f (raw) (kJ/mol of atoms) = -166
- space group = No. 166

(9)
YSc2Tl: optimized geometry, GGA-PBE.

```
YSc2Tl
1.0
4.397 0.000 0.000
0.000 4.545 0.000
-2.191 0.000 10.630
Y Sc Tl
2 4 2
Cartesian
0.000 1.136 4.060
2.206 3.409 6.570
-0.001 3.409 1.147
0.008 3.409 9.297
2.197 1.136 1.333
2.206 1.136 9.483
0.009 1.136 7.240
2.197 3.409 3.390
```

Calculated values
- DFT formation energy (eV per atom) = -0.20
- calculated total energy (Ry per atom) = -0.4097
- ρ (g/cm³) = 5.99
- space group = No. 11